A plane-wave DFT calculation with PBE was carried out for a geometry-optimized KTaW structure.

Summary:
* total magnetic moment: 0.0 μB/cell
* calculated total energy: -7.726 eV per atom
* ΔE_f: 87.7 kJ per mole of atoms
* distance to the lowest polymorph of the same formula: 0.00 eV/f.u.

abc: 8.7715 8.5717 2.9647
angles: 83.99 76.37 19.64
Closest atoms and distances in Å follow each position.
Element x y z (fractional)
K1 0.0000 0.0000 0.0000  6 K 2.96-3.26
Ta1 0.3043 0.3043 0.6957  2 W 2.59
W1 0.6849 0.6849 0.3151  2 Ta 2.59